{
  "formula": "CaCdH6Pt2",
  "functional": "PBE",
  "state": "relaxed",
  "e_tot_ev_per_atom": -3.786,
  "space_group": "No. 15",
  "dos_at_fermi_per_ev_atom": 0.198,
  "cell": [[7.1600, -1.2023, 0.8341], [-2.0698, 6.9589, 0.8341], [-0.6177, -0.6985, 4.4354]],
  "species": ["Ca", "Ca", "Cd", "Cd", "H", "H", "H", "H", "H", "H", "H", "H", "H", "H", "H", "H", "Pt", "Pt", "Pt", "Pt"],
  "fractional_positions": [[0.1751, 0.8249, 0.2500], [0.8249, 0.1751, 0.7500], [0.5860, 0.4140, 0.2500], [0.4140, 0.5860, 0.7500], [0.1180, 0.4749, 0.0085], [0.5251, 0.8820, 0.4915], [0.8820, 0.5251, 0.9915], [0.4749, 0.1180, 0.5085], [0.1336, 0.1337, 0.0004], [0.8663, 0.8664, 0.4996], [0.8664, 0.8663, 0.9996], [0.1337, 0.1336, 0.5004], [0.1184, 0.4747, 0.4897], [0.5253, 0.8816, 0.0103], [0.8816, 0.5253, 0.5103], [0.4747, 0.1184, 0.9897], [0.3318, 0.1620, 0.7493], [0.8380, 0.6682, 0.7507], [0.6682, 0.8380, 0.2507], [0.1620, 0.3318, 0.2493]]
}


{
  "formula": "SrScPb",
  "functional": "PBE",
  "state": "relaxed",
  "e_tot_ev_per_atom": -4.076,
  "space_group": "No. 107",
  "formation_energy_ev_per_fu": -0.51,
  "dos_at_fermi_per_ev_atom": 0.848,
  "cell": [[-1.8339, 2.9863, -6.8624], [0.1633, 0.0935, -7.7037], [-2.9935, -1.7978, -0.9337]],
  "species": ["Pb", "Sc", "Sr"],
  "fractional_positions": [[0.9857, 0.9857, 0.0143], [0.3560, 0.3560, 0.6440], [0.6584, 0.6584, 0.3416]]
}


{
  "formula": "KGa3Ge2",
  "functional": "PBE",
  "state": "relaxed",
  "e_tot_ev_per_atom": -3.160,
  "space_group": "No. 227",
  "formation_energy_ev_per_fu": 0.46,
  "dos_at_fermi_per_ev_atom": 0.322,
  "relative_energy_kj_per_mol_atoms": 2.1,
  "cell": [[8.2961, 0.0000, 4.7898], [2.7654, 7.8217, 4.7898], [0.0000, 0.0000, 9.5796]],
  "species": ["K", "K", "K", "K", "Ga", "Ga", "Ga", "Ga", "Ga", "Ga", "Ga", "Ga", "Ga", "Ga", "Ga", "Ga", "Ge", "Ge", "Ge", "Ge", "Ge", "Ge", "Ge", "Ge"],
  "fractional_positions": [[0.0000, 0.0000, 0.0000], [0.0000, 0.5000, 0.0000], [0.5000, 0.0000, 0.0000], [0.0000, 0.0000, 0.5000], [0.4494, 0.4494, 0.8006], [0.8006, 0.8006, 0.4494], [0.8006, 0.4494, 0.4494], [0.4494, 0.8006, 0.8006], [0.4494, 0.8006, 0.4494], [0.8006, 0.4494, 0.8006], [0.5506, 0.1994, 0.1994], [0.1994, 0.5506, 0.5506], [0.1994, 0.1994, 0.5506], [0.5506, 0.5506, 0.1994], [0.5506, 0.1994, 0.5506], [0.1994, 0.5506, 0.1994], [0.2478, 0.2478, 0.2478], [0.2478, 0.7567, 0.2478], [0.7567, 0.2478, 0.2478], [0.2478, 0.2478, 0.7567], [0.7522, 0.2433, 0.7522], [0.7522, 0.7522, 0.7522], [0.2433, 0.7522, 0.7522], [0.7522, 0.7522, 0.2433]]
}


{
  "formula": "SrAl2GaFe",
  "functional": "PBE",
  "state": "relaxed",
  "e_tot_ev_per_atom": -4.410,
  "space_group": "No. 123",
  "formation_energy_ev_per_fu": -1.39,
  "dos_at_fermi_per_ev_atom": 0.441,
  "relative_energy_kj_per_mol_atoms": 0.0,
  "cell": [[-2.2399, -3.5608, -1.9185], [2.7383, 0.2790, -3.7149], [3.0117, -2.9704, 1.9969]],
  "species": ["Sr", "Fe", "Ga", "Al", "Al"],
  "fractional_positions": [[0.5000, 0.5000, 0.5000], [0.0000, 0.0000, 0.0000], [0.0000, 0.0000, 0.5000], [0.0000, 0.5000, 0.0000], [0.5000, 0.0000, 0.0000]]
}